Ac2SmO4: optimized geometry, PBE-GGA.

Values from the calculation:
N(E_F) in states/eV/cell: 0.51

```
14
Lattice="4.497 0.000 0.000 0.000 4.497 0.000 0.000 0.000 13.252" Properties=species:S:1:pos:R:3 pbc="T T T"
Ac 0.000 0.000 1.991
Ac 0.000 0.000 11.261
Ac 2.248 2.248 4.635
Ac 2.248 2.248 8.617
Sm 0.000 0.000 6.626
Sm 2.248 2.248 0.000
O 0.000 0.000 4.262
O 0.000 0.000 8.990
O 0.000 2.248 0.000
O 0.000 2.248 6.626
O 2.248 0.000 0.000
O 2.248 0.000 6.626
O 2.248 2.248 2.364
O 2.248 2.248 10.888
```

***

CdCu2Cl4: optimized geometry, PBE-GGA.

Values from the calculation:
Excess energy over the best structure of this formula in the dataset in meV/atom: 67

```
14
Lattice="7.685 0.000 0.000 0.000 7.685 0.000 0.000 0.000 6.176" Properties=species:S:1:pos:R:3 pbc="T T T"
Cd 0.000 0.000 0.000
Cd 3.842 3.842 3.088
Cu 0.000 3.842 1.544
Cu 0.000 3.842 4.632
Cu 3.842 0.000 1.544
Cu 3.842 0.000 4.632
Cl 1.000 5.297 0.000
Cl 1.455 2.843 3.088
Cl 2.387 1.000 0.000
Cl 2.843 6.230 3.088
Cl 4.842 1.455 3.088
Cl 5.297 6.685 0.000
Cl 6.230 4.842 3.088
Cl 6.685 2.387 0.000
```

***

CaNdInBr6: optimized geometry, PBE-GGA.

Values from the calculation:
N(E_F) in states/eV/cell: 0.00

```
18
Lattice="7.560 0.000 0.000 -3.780 6.547 0.000 0.000 0.000 14.285" Properties=species:S:1:pos:R:3 pbc="T T T"
Ca 0.000 4.365 3.571
Ca 3.780 2.182 10.714
Nd 0.000 4.365 10.714
Nd 3.780 2.182 3.571
In 0.000 0.000 0.000
In 0.000 0.000 7.143
Br -1.380 2.400 9.064
Br -2.392 4.152 12.364
Br 1.380 2.400 12.364
Br -1.012 6.542 9.064
Br 2.768 0.005 1.921
Br 1.388 2.395 5.221
Br 2.392 4.152 9.064
Br 1.012 6.542 12.364
Br 4.792 0.005 5.221
Br 2.400 4.147 1.921
Br 6.171 2.395 1.921
Br 5.159 4.147 5.221
```

***

no.,ΔE_f (raw) (eV/atom),total energy (eV per atom)
1,-2.8863,-7.57
2,-0.6026,-2.96
3,-1.6678,-3.84